# 1
ZrHg2Ir, optimized geometry, DFT PBE-GGA; symmetry = No. 8; DFT formation energy = 0.001 eV/atom; ΔE to the lowest computed polymorph = 188.0 meV/atom
1.0
4.8808 -1.5857 0.0000
4.8808 1.5857 0.0000
-1.2254 0.0000 5.1861
Zr Hg Ir
1 2 1
Direct
0.0000 0.0000 0.0000 Zr
0.2363 0.2363 0.7007 Hg
0.4704 0.4704 0.4675 Hg
0.7240 0.7240 0.1586 Ir

---

# 2
Sr6Ca4Ac, optimized geometry, DFT PBE-GGA; symmetry = No. 187; DFT formation energy = 0.113 eV/atom
1.0
12.6933 0.0000 0.0000
-6.3466 10.9927 0.0000
0.0000 0.0000 4.0263
Sr Ca Ac
6 4 1
Direct
0.1775 0.3550 0.0000 Sr
0.1775 0.8225 0.0000 Sr
0.5259 0.0519 0.5000 Sr
0.5259 0.4741 0.5000 Sr
0.6450 0.8225 0.0000 Sr
0.9481 0.4741 0.5000 Sr
0.3168 0.1584 0.0000 Ca
0.3333 0.6667 0.5000 Ca
0.8416 0.1584 0.0000 Ca
0.8416 0.6832 0.0000 Ca
0.0000 0.0000 0.5000 Ac

---

# 3
Ce2MgNi4As3, optimized geometry, DFT PBE-GGA; symmetry = No. 115; DFT formation energy = -0.754 eV/atom
1.0
4.0603 0.0000 0.0000
0.0000 4.0603 0.0000
0.0000 0.0000 10.1464
Ce Mg Ni As
2 1 4 3
Direct
0.0000 0.5000 0.2348 Ce
0.5000 0.0000 0.7652 Ce
0.0000 0.0000 0.5000 Mg
0.0000 0.0000 0.0000 Ni
0.0000 0.5000 0.6439 Ni
0.5000 0.0000 0.3561 Ni
0.5000 0.5000 0.0000 Ni
0.0000 0.5000 0.8725 As
0.5000 0.0000 0.1275 As
0.5000 0.5000 0.5000 As

---

# 4
La2YHgN, optimized geometry, DFT PBE-GGA; symmetry = No. 123; electronic total energy = -29.02 eV per formula unit
1.0
5.1388 0.0000 0.0000
0.0000 5.1388 0.0000
0.0000 0.0000 4.8073
La Y Hg N
2 1 1 1
Direct
0.0000 0.5000 0.0000 La
0.5000 0.0000 0.0000 La
0.0000 0.0000 0.5000 Y
0.5000 0.5000 0.5000 Hg
0.0000 0.0000 0.0000 N

---

# 5
K6H3ClF2, optimized geometry, DFT PBE-GGA; symmetry = No. 12; electronic total energy = -38.05 eV per formula unit
1.0
8.8514 -2.0195 0.0000
8.8514 2.0195 0.0000
-1.8505 0.0000 7.9561
K H Cl F
6 3 1 2
Direct
0.0030 0.0030 0.2766 K
0.3251 0.3251 0.8991 K
0.3292 0.3292 0.4251 K
0.6708 0.6708 0.5749 K
0.6749 0.6749 0.1009 K
0.9970 0.9970 0.7234 K
0.1680 0.1680 0.8258 H
0.5000 0.5000 0.5000 H
0.8320 0.8320 0.1742 H
0.5000 0.5000 0.0000 Cl
0.1704 0.1704 0.3425 F
0.8296 0.8296 0.6575 F

---

# 6
La5PrAg6, optimized geometry, DFT PBE-GGA; symmetry = No. 10; DFT formation energy = -0.254 eV/atom
1.0
5.4411 0.0000 0.0000
0.0000 7.5425 0.0000
-2.6476 0.0000 8.1445
La Pr Ag
5 1 6
Direct
0.0000 0.0000 0.0000 La
0.3328 0.0000 0.6655 La
0.3335 0.5000 0.6669 La
0.6665 0.5000 0.3331 La
0.6672 0.0000 0.3345 La
0.0000 0.5000 0.0000 Pr
0.1655 0.2517 0.3309 Ag
0.1655 0.7483 0.3309 Ag
0.5000 0.2531 0.0000 Ag
0.5000 0.7469 0.0000 Ag
0.8345 0.2517 0.6691 Ag
0.8345 0.7483 0.6691 Ag

---

# 7
NaTaZn, optimized geometry, DFT PBE-GGA; symmetry = No. 63; DFT formation energy = 1.061 eV/atom; ΔE to the lowest computed polymorph = 923.8 meV/atom
1.0
2.3324 -5.2665 0.0000
2.3324 5.2665 0.0000
0.0000 0.0000 4.6868
Na Ta Zn
2 2 2
Direct
0.0667 0.9333 0.7500 Na
0.9333 0.0667 0.2500 Na
0.2564 0.7436 0.2500 Ta
0.7436 0.2564 0.7500 Ta
0.5000 0.5000 0.0000 Zn
0.5000 0.5000 0.5000 Zn

---

# 8
HfRu3N, optimized geometry, DFT PBE-GGA; symmetry = No. 221; ΔE to the lowest computed polymorph = 3034.4 meV/atom
1.0
4.8298 0.0000 0.0000
0.0000 4.8298 0.0000
0.0000 0.0000 4.8298
Hf Ru N
1 3 1
Direct
0.0000 0.0000 0.0000 Hf
0.0000 0.0000 0.5000 Ru
0.0000 0.5000 0.0000 Ru
0.5000 0.0000 0.0000 Ru
0.5000 0.5000 0.5000 N

---

# 9
NbI5, optimized geometry, DFT PBE-GGA; symmetry = No. 2; ΔE to the lowest computed polymorph = 0.0 meV/atom
1.0
7.5168 0.0000 0.0000
-3.4998 7.1648 0.0000
-0.1923 -4.0081 9.9198
Nb I
2 10
Direct
0.1012 0.2171 0.2214 Nb
0.8988 0.7829 0.7786 Nb
0.0801 0.8269 0.5707 I
0.1213 0.6235 0.8496 I
0.2268 0.1788 0.9571 I
0.3006 0.0109 0.2500 I
0.4336 0.5724 0.3264 I
0.5664 0.4276 0.6736 I
0.6994 0.9891 0.7500 I
0.7732 0.8212 0.0429 I
0.8787 0.3765 0.1504 I
0.9199 0.1731 0.4293 I

---

# 10
Nd3Dy6Er2, optimized geometry, DFT PBE-GGA; symmetry = No. 166; DFT formation energy = 0.128 eV/atom; ΔE to the lowest computed polymorph = 0.0 meV/atom
1.0
2.8250 1.6310 12.9652
-2.8250 1.6310 12.9652
0.0000 -3.2621 12.9652
Nd Dy Er
3 6 2
Direct
0.0000 0.0000 0.0000 Nd
0.2625 0.2625 0.2625 Nd
0.7375 0.7375 0.7375 Nd
0.0842 0.0842 0.0842 Dy
0.1706 0.1706 0.1706 Dy
0.3637 0.3637 0.3637 Dy
0.6363 0.6363 0.6363 Dy
0.8294 0.8294 0.8294 Dy
0.9158 0.9158 0.9158 Dy
0.4555 0.4555 0.4555 Er
0.5445 0.5445 0.5445 Er

---

# 11
CaAcDy2Te4, optimized geometry, DFT PBE-GGA; symmetry = No. 10; electronic total energy = -39.10 eV per formula unit
1.0
7.7990 0.0000 0.0000
0.0000 4.4499 0.0000
-2.5308 0.0000 7.3816
Ca Ac Dy Te
1 1 2 4
Direct
0.0000 0.0000 0.0000 Ca
0.5000 0.5000 0.0000 Ac
0.0000 0.5000 0.5000 Dy
0.5000 0.0000 0.5000 Dy
0.2344 0.0000 0.7312 Te
0.2459 0.5000 0.2629 Te
0.7541 0.5000 0.7371 Te
0.7656 0.0000 0.2688 Te

---

# 12
Tb7PmSm3, optimized geometry, DFT PBE-GGA; symmetry = No. 156; DFT formation energy = 0.181 eV/atom; ΔE to the lowest computed polymorph = 43.0 meV/atom
1.0
7.1053 0.0000 0.0000
-3.5526 6.1533 0.0000
0.0000 0.0000 8.6915
Tb Pm Sm
7 1 3
Direct
0.0000 0.0000 0.0000 Tb
0.1656 0.3313 0.6739 Tb
0.1656 0.8344 0.6739 Tb
0.5008 0.0016 0.0037 Tb
0.5008 0.4992 0.0037 Tb
0.6687 0.8344 0.6739 Tb
0.9984 0.4992 0.0037 Tb
0.6667 0.3333 0.6767 Pm
0.3328 0.1664 0.3376 Sm
0.8336 0.1664 0.3376 Sm
0.8336 0.6672 0.3376 Sm

---

no.,magnetization (Bohr magnetons per cell)
1,0.0
2,0.0
3,0.5
4,0.0
5,0.0
6,0.0
7,0.0
8,6.7
9,0.0
10,0.0
11,0.0
12,0.0